1.
Compound: Sm7Ag2Sn2
Source: Alexandria
Functional: GGA-PBE
Structure: relaxed

Summary:
The magnetic moment comes out at 0.00 μB/f.u. As for the energy relative to the elements: -0.11 eV per atom.

a = 7.0962 Å, b = 7.0962 Å, c = 7.2514 Å
α = 90.00°, β = 90.00°, γ = 107.72°
With the nearest neighbours (Å) after each atom.
Positions (direct):
Sm (0.0000, 0.0000, 0.0000)  2 Ag 3.26
Sm (0.0000, 0.5000, 0.2732)  2 Ag 2.91
Sm (0.0000, 0.5000, 0.7268)  2 Ag 2.91
Sm (0.5000, 0.0000, 0.2732)  2 Ag 2.91
Sm (0.5000, 0.0000, 0.7268)  2 Ag 2.91
Sm (0.5000, 0.5000, 0.2505)  2 Ag 3.07, 2 Sn 3.26
Sm (0.5000, 0.5000, 0.7495)  2 Ag 3.07, 2 Sn 3.26
Ag (0.2842, 0.7158, 0.0000)  6 Sm 2.91-3.07
Ag (0.7158, 0.2842, 0.0000)  6 Sm 2.91-3.07
Sn (0.1759, 0.1759, 0.5000)  1 Sn 2.94, 2 Sm 3.26
Sn (0.8241, 0.8241, 0.5000)  1 Sn 2.94, 2 Sm 3.26

2.
Compound: Sm7Ag4Sn
Source: Alexandria
Functional: GGA-PBE
Structure: relaxed

Summary:
The magnetic moment comes out at 0.00 μB/f.u. As for the energy relative to the elements: -0.14 eV per atom.

a = 7.8845 Å, b = 7.8845 Å, c = 9.2551 Å
α = 118.24°, β = 118.24°, γ = 43.27°
With the nearest neighbours (Å) after each atom.
Positions (direct):
Sm (0.0000, 0.0000, 0.0000)  2 Sn 2.91, 4 Ag 2.97-3.15
Sm (0.2289, 0.2289, 0.6942)  4 Ag 2.95-3.22
Sm (0.3236, 0.3236, 0.1206)  6 Sm 3.30-3.65, 1 Sn 3.30, 3 Ag 3.49-3.56
Sm (0.4222, 0.4222, 0.5920)  3 Ag 2.99-3.17, 1 Sm 3.30, 1 Sn 3.34
Sm (0.5778, 0.5778, 0.4080)  3 Ag 2.99-3.17, 1 Sm 3.30, 1 Sn 3.34
Sm (0.6764, 0.6764, 0.8794)  6 Sm 3.30-3.65, 1 Sn 3.30, 3 Ag 3.49-3.56
Sm (0.7711, 0.7711, 0.3058)  4 Ag 2.95-3.22
Ag (0.0229, 0.0229, 0.6794)  4 Sm 2.95-3.17, 2 Ag 3.02-3.03
Ag (0.1897, 0.1897, 0.3422)  5 Sm 2.97-3.22, 1 Ag 3.02
Ag (0.8103, 0.8103, 0.6578)  5 Sm 2.97-3.22, 1 Ag 3.02
Ag (0.9771, 0.9771, 0.3206)  4 Sm 2.95-3.17, 2 Ag 3.02-3.03
Sn (0.5000, 0.5000, 0.0000)  2 Sm 2.91

3.
Compound: SmAgSn2
Source: Alexandria
Functional: GGA-PBE
Structure: relaxed

Summary:
The magnetic moment comes out at 0.00 μB/f.u. As for the energy relative to the elements: -0.47 eV per atom.

a = 4.6756 Å, b = 4.6756 Å, c = 4.4793 Å
α = 90.00°, β = 90.00°, γ = 90.00°
With the nearest neighbours (Å) after each atom.
Positions (direct):
Sm (0.0000, 0.0000, 0.0000)  8 Sn 3.24, 4 Ag 3.31
Ag (0.5000, 0.5000, 0.0000)  8 Sn 3.24, 4 Sm 3.31
Sn (0.0000, 0.5000, 0.5000)  4 Sm 3.24, 4 Ag 3.24, 4 Sn 3.31
Sn (0.5000, 0.0000, 0.5000)  4 Sm 3.24, 4 Ag 3.24, 4 Sn 3.31

4.
Compound: SmAgSn
Source: Alexandria
Functional: GGA-PBE
Structure: relaxed

Summary:
The magnetic moment comes out at 0.00 μB/f.u. As for the energy relative to the elements: -0.48 eV per atom.

a = 4.4419 Å, b = 4.4419 Å, c = 15.4233 Å
α = 90.00°, β = 90.00°, γ = 90.00°
With the nearest neighbours (Å) after each atom.
Positions (direct):
Sm (0.0000, 0.0000, 0.1658)  5 Sn 3.20-3.23, 4 Ag 3.39
Sm (0.0000, 0.0000, 0.8342)  5 Sn 3.20-3.23, 4 Ag 3.39
Sm (0.5000, 0.5000, 0.3342)  5 Sn 3.20-3.23, 4 Ag 3.39
Sm (0.5000, 0.5000, 0.6658)  5 Sn 3.20-3.23, 4 Ag 3.39
Ag (0.0000, 0.5000, 0.0000)  4 Sn 2.94, 4 Ag 3.14
Ag (0.0000, 0.5000, 0.5000)  4 Sn 2.94, 4 Ag 3.14
Ag (0.5000, 0.0000, 0.0000)  4 Sn 2.94, 4 Ag 3.14
Ag (0.5000, 0.0000, 0.5000)  4 Sn 2.94, 4 Ag 3.14
Sn (0.0000, 0.0000, 0.3754)  4 Ag 2.94, 5 Sm 3.20-3.23
Sn (0.0000, 0.0000, 0.6246)  4 Ag 2.94, 5 Sm 3.20-3.23
Sn (0.5000, 0.5000, 0.1246)  4 Ag 2.94, 5 Sm 3.20-3.23
Sn (0.5000, 0.5000, 0.8754)  4 Ag 2.94, 5 Sm 3.20-3.23

5.
Compound: Sm3AgSn2
Source: Alexandria
Functional: GGA-PBE
Structure: relaxed

Summary:
The magnetic moment comes out at 0.00 μB/f.u. As for the energy relative to the elements: -0.50 eV per atom.

a = 8.8115 Å, b = 8.8115 Å, c = 6.3991 Å
α = 102.76°, β = 102.76°, γ = 42.83°
With the nearest neighbours (Å) after each atom.
Positions (direct):
Sm (0.1564, 0.8436, 0.7500)  2 Ag 3.09-3.35, 4 Sn 3.17-3.27
Sm (0.2212, 0.4362, 0.3974)  5 Sn 3.17-3.46, 2 Ag 3.17-3.53, 3 Sm 3.49-3.51
Sm (0.4362, 0.2212, 0.8974)  5 Sn 3.17-3.46, 2 Ag 3.17-3.53, 3 Sm 3.49-3.51
Sm (0.5638, 0.7788, 0.1026)  5 Sn 3.17-3.46, 2 Ag 3.17-3.53, 3 Sm 3.49-3.51
Sm (0.7788, 0.5638, 0.6026)  5 Sn 3.17-3.46, 2 Ag 3.17-3.53, 3 Sm 3.49-3.51
Sm (0.8436, 0.1564, 0.2500)  2 Ag 3.09-3.35, 4 Sn 3.17-3.27
Ag (0.3640, 0.6360, 0.2500)  4 Sm 3.09-3.35, 2 Sn 3.26
Ag (0.6360, 0.3640, 0.7500)  4 Sm 3.09-3.35, 2 Sn 3.26
Sn (0.0523, 0.2609, 0.0451)  7 Sm 3.17-3.46, 1 Ag 3.26, 2 Sn 3.47
Sn (0.2609, 0.0523, 0.5451)  7 Sm 3.17-3.46, 1 Ag 3.26, 2 Sn 3.47
Sn (0.7391, 0.9477, 0.4549)  7 Sm 3.17-3.46, 1 Ag 3.26, 2 Sn 3.47
Sn (0.9477, 0.7391, 0.9549)  7 Sm 3.17-3.46, 1 Ag 3.26, 2 Sn 3.47

6.
Compound: Sm2Ag2Sn
Source: Alexandria
Functional: GGA-PBE
Structure: relaxed

Summary:
The magnetic moment comes out at 0.00 μB/f.u. As for the energy relative to the elements: -0.40 eV per atom.

a = 6.0795 Å, b = 6.0795 Å, c = 11.2168 Å
α = 113.26°, β = 113.26°, γ = 43.81°
With the nearest neighbours (Å) after each atom.
Positions (direct):
Sm (0.0137, 0.0137, 0.3382)  6 Ag 3.17-3.37, 3 Sn 3.27-3.28
Sm (0.1878, 0.1878, 0.1023)  5 Ag 3.11-3.40, 2 Sn 3.29
Sm (0.8122, 0.8122, 0.8977)  5 Ag 3.11-3.40, 2 Sn 3.29
Sm (0.9863, 0.9863, 0.6618)  6 Ag 3.17-3.37, 3 Sn 3.27-3.28
Ag (0.3621, 0.3621, 0.4471)  3 Sn 2.78-3.04, 1 Ag 2.82
Ag (0.4660, 0.4660, 0.1093)  1 Sn 2.86, 1 Ag 2.86, 1 Sm 3.11
Ag (0.5340, 0.5340, 0.8907)  1 Sn 2.86, 1 Ag 2.86, 1 Sm 3.11
Ag (0.6379, 0.6379, 0.5529)  3 Sn 2.78-3.04, 1 Ag 2.82
Sn (0.2810, 0.2810, 0.6736)  4 Ag 2.78-3.04
Sn (0.7190, 0.7190, 0.3264)  4 Ag 2.78-3.04

7.
Compound: Sm3Ag2Sn4
Source: Alexandria
Functional: GGA-PBE
Structure: relaxed

Summary:
The magnetic moment comes out at 0.00 μB/f.u. As for the energy relative to the elements: -0.58 eV per atom.

a = 6.2831 Å, b = 6.2831 Å, c = 9.0333 Å
α = 107.66°, β = 107.66°, γ = 43.85°
With the nearest neighbours (Å) after each atom.
Positions (direct):
Sm (0.0000, 0.0000, 0.0000)  6 Sn 3.24-3.30
Sm (0.3646, 0.3646, 0.3090)  3 Ag 3.16-3.27, 7 Sn 3.23-3.52
Sm (0.6354, 0.6354, 0.6910)  3 Ag 3.16-3.27, 7 Sn 3.23-3.52
Ag (0.3093, 0.3093, 0.6286)  4 Sn 2.78-2.96
Ag (0.6907, 0.6907, 0.3714)  4 Sn 2.78-2.96
Sn (0.0672, 0.0672, 0.3846)  3 Ag 2.78-2.96, 1 Sn 2.99
Sn (0.2980, 0.2980, 0.9326)  1 Ag 2.79, 2 Sn 3.02
Sn (0.7020, 0.7020, 0.0674)  1 Ag 2.79, 2 Sn 3.02
Sn (0.9328, 0.9328, 0.6154)  3 Ag 2.78-2.96, 1 Sn 2.99

8.
Compound: SmAgSn
Source: Alexandria
Functional: GGA-PBE
Structure: relaxed

Summary:
The magnetic moment comes out at 0.00 μB/f.u. As for the energy relative to the elements: -0.55 eV per atom.

a = 6.8334 Å, b = 6.8334 Å, c = 6.8334 Å
α = 90.00°, β = 90.00°, γ = 90.00°
With the nearest neighbours (Å) after each atom.
Positions (direct):
Sm (0.0000, 0.0000, 0.0000)  4 Ag 2.96
Sm (0.0000, 0.5000, 0.5000)  4 Ag 2.96
Sm (0.5000, 0.0000, 0.5000)  4 Ag 2.96
Sm (0.5000, 0.5000, 0.0000)  4 Ag 2.96
Ag (0.2500, 0.2500, 0.7500)  4 Sn 2.96, 4 Sm 2.96
Ag (0.2500, 0.7500, 0.2500)  4 Sn 2.96, 4 Sm 2.96
Ag (0.7500, 0.2500, 0.2500)  4 Sn 2.96, 4 Sm 2.96
Ag (0.7500, 0.7500, 0.7500)  4 Sn 2.96, 4 Sm 2.96
Sn (0.0000, 0.0000, 0.5000)  4 Ag 2.96
Sn (0.0000, 0.5000, 0.0000)  4 Ag 2.96
Sn (0.5000, 0.0000, 0.0000)  4 Ag 2.96
Sn (0.5000, 0.5000, 0.5000)  4 Ag 2.96

9.
Compound: Sm3Ag4Sn2
Source: Alexandria
Functional: GGA-PBE
Structure: relaxed

Summary:
The magnetic moment comes out at 0.00 μB/f.u. As for the energy relative to the elements: -0.46 eV per atom.

a = 6.0670 Å, b = 6.0670 Å, c = 9.2140 Å
α = 113.53°, β = 113.53°, γ = 46.16°
With the nearest neighbours (Å) after each atom.
Positions (direct):
Sm (0.0000, 0.0000, 0.0000)  8 Ag 3.23-3.58, 4 Sn 3.35
Sm (0.3424, 0.3424, 0.3226)  8 Ag 3.15-3.41, 4 Sn 3.27-3.48
Sm (0.6576, 0.6576, 0.6774)  8 Ag 3.15-3.41, 4 Sn 3.27-3.48
Ag (0.0839, 0.0839, 0.4213)  2 Sn 2.81, 1 Ag 2.82
Ag (0.2914, 0.2914, 0.9591)  2 Ag 2.77, 1 Sn 2.80
Ag (0.7086, 0.7086, 0.0409)  2 Ag 2.77, 1 Sn 2.80
Ag (0.9161, 0.9161, 0.5787)  2 Sn 2.81, 1 Ag 2.82
Sn (0.3804, 0.3804, 0.7176)  3 Ag 2.80-2.81
Sn (0.6196, 0.6196, 0.2824)  3 Ag 2.80-2.81

10.
Compound: Sm8AgSn2
Source: Alexandria
Functional: GGA-PBE
Structure: relaxed

Summary:
The magnetic moment comes out at 0.00 μB/f.u. As for the energy relative to the elements: -0.31 eV per atom.

a = 10.1539 Å, b = 10.1539 Å, c = 6.9038 Å
α = 104.38°, β = 104.38°, γ = 29.39°
With the nearest neighbours (Å) after each atom.
Positions (direct):
Sm (0.0179, 0.0179, 0.2749)  2 Ag 3.07, 1 Sn 3.25, 1 Sm 3.36
Sm (0.2140, 0.2140, 0.8182)  3 Sn 3.23-3.41, 2 Sm 3.41
Sm (0.3461, 0.3461, 0.5046)  1 Ag 3.03, 3 Sn 3.19-3.26
Sm (0.4067, 0.4067, 0.0227)  1 Ag 3.33, 2 Sn 3.40, 4 Sm 3.47-3.69
Sm (0.5933, 0.5933, 0.9773)  1 Ag 3.33, 2 Sn 3.40, 4 Sm 3.47-3.69
Sm (0.6539, 0.6539, 0.4954)  1 Ag 3.03, 3 Sn 3.19-3.26
Sm (0.7860, 0.7860, 0.1818)  3 Sn 3.23-3.41, 2 Sm 3.41
Sm (0.9821, 0.9821, 0.7251)  2 Ag 3.07, 1 Sn 3.25, 1 Sm 3.36
Ag (0.5000, 0.5000, 0.5000)  8 Sm 3.03-3.33
Sn (0.1811, 0.1811, 0.2534)  9 Sm 3.19-3.41
Sn (0.8189, 0.8189, 0.7466)  9 Sm 3.19-3.41

11.
Compound: Sm2Ag3Sn2
Source: Alexandria
Functional: GGA-PBE
Structure: relaxed

Summary:
The magnetic moment comes out at 0.00 μB/f.u. As for the energy relative to the elements: -0.43 eV per atom.

a = 11.0810 Å, b = 4.6629 Å, c = 6.9824 Å
α = 90.00°, β = 110.56°, γ = 90.00°
With the nearest neighbours (Å) after each atom.
Positions (direct):
Sm (0.1458, 0.0000, 0.2502)  5 Ag 3.14-3.49, 4 Sn 3.23-3.31
Sm (0.3542, 0.5000, 0.7498)  5 Ag 3.14-3.49, 4 Sn 3.23-3.31
Sm (0.6458, 0.5000, 0.2502)  5 Ag 3.14-3.49, 4 Sn 3.23-3.31
Sm (0.8542, 0.0000, 0.7498)  5 Ag 3.14-3.49, 4 Sn 3.23-3.31
Ag (0.0000, 0.5000, 0.5000)  2 Ag 2.82, 4 Sn 2.96
Ag (0.1023, 0.5000, 0.9310)  2 Ag 2.76-2.82, 3 Sn 2.87-2.97
Ag (0.3977, 0.0000, 0.0690)  2 Ag 2.76-2.82, 3 Sn 2.87-2.97
Ag (0.5000, 0.0000, 0.5000)  2 Ag 2.82, 4 Sn 2.96
Ag (0.6023, 0.0000, 0.9310)  2 Ag 2.76-2.82, 3 Sn 2.87-2.97
Ag (0.8977, 0.5000, 0.0690)  2 Ag 2.76-2.82, 3 Sn 2.87-2.97
Sn (0.1472, 0.0000, 0.7248)  5 Ag 2.87-2.97
Sn (0.3528, 0.5000, 0.2752)  5 Ag 2.87-2.97
Sn (0.6472, 0.5000, 0.7248)  5 Ag 2.87-2.97
Sn (0.8528, 0.0000, 0.2752)  5 Ag 2.87-2.97

| no. | energy (eV per cell) | D(E_F) (states/eV per atom) |
| --- | --- | --- |
| 1 | -47.9 | 1.2327 |
| 2 | -50.2 | 1.1933 |
| 3 | -17.5 | 0.4070 |
| 4 | -52.1 | 0.8831 |
| 5 | -56.0 | 0.6013 |
| 6 | -42.3 | 0.7482 |
| 7 | -41.1 | 0.2744 |
| 8 | -52.9 | 0.2102 |
| 9 | -37.7 | 0.5186 |
| 10 | -52.0 | 0.9538 |
| 11 | -58.0 | 0.5954 |